(1)
Crystalline Mo2Au at its relaxed geometry, computed with PBEsol.

total magnetization = 0.00 μB/atom
energy above the most stable polymorph in this dataset = 40 meV/atom
DFT formation energy = 0.27 eV/atom
space-group type = No. 164
VASP energy = -0.653 Ry per atom
mass density = 13.7 g cm⁻³
crystal system = trigonal

a = 2.618 Å, b = 4.565 Å, c = 4.565 Å
α = 120.00°, β = 90.00°, γ = 90.00°
Sites, in units of the cell vectors:
Mo (0.635, 0.667, 0.333)
Au (0.000, 0.000, 0.000)
Mo (0.365, 0.333, 0.667)


(2)
Crystalline MoAu3 at its relaxed geometry, computed with PBEsol.

total magnetization = 0.00 μB/atom
DFT formation energy = 0.24 eV/atom
space-group type = No. 25
VASP energy = -0.415 Ry per atom
mass density = 17.4 g cm⁻³
crystal system = orthorhombic

a = 2.727 Å, b = 4.661 Å, c = 5.164 Å
α = 90.00°, β = 90.00°, γ = 90.00°
Sites, in units of the cell vectors:
Mo (0.000, 0.500, 0.322)
Au (0.000, 0.000, 0.019)
Au (0.500, 0.000, 0.505)
Au (0.500, 0.500, 0.820)


(3)
Crystalline MoAuN3 at its relaxed geometry, computed with PBEsol.

raw formation energy = 2.2311 eV per atom
total magnetization = 0.22 μB/atom
space-group type = No. 221
VASP energy = -0.443 Ry per atom
mass density = 9.3 g cm⁻³
crystal system = cubic

a = 3.906 Å, b = 3.906 Å, c = 3.906 Å
α = 90.00°, β = 90.00°, γ = 90.00°
Sites, in units of the cell vectors:
Au (0.000, 0.000, 0.000)
Mo (0.500, 0.500, 0.500)
N (0.000, 0.000, 0.500)
N (0.500, 0.000, 0.000)
N (0.000, 0.500, 0.000)


(4)
Crystalline Mo3AuN at its relaxed geometry, computed with PBEsol.

raw formation energy = -0.2129 eV per atom
total magnetization = 0.00 μB/atom
space-group type = No. 221
VASP energy = -0.718 Ry per atom
mass density = 12.2 g cm⁻³
crystal system = cubic

a = 4.082 Å, b = 4.082 Å, c = 4.082 Å
α = 90.00°, β = 90.00°, γ = 90.00°
Sites, in units of the cell vectors:
Mo (0.000, 0.500, 0.000)
Mo (0.500, 0.000, 0.000)
Mo (0.000, 0.000, 0.500)
N (0.000, 0.000, 0.000)
Au (0.500, 0.500, 0.500)


(5)
Crystalline MoAuN2 at its relaxed geometry, computed with PBEsol.

raw formation energy = 1.2060 eV per atom
total magnetization = 0.00 μB/atom
space-group type = No. 225
VASP energy = -0.513 Ry per atom
mass density = 12.7 g cm⁻³
crystal system = cubic

a = 3.900 Å, b = 3.900 Å, c = 3.900 Å
α = 60.00°, β = 60.00°, γ = 60.00°
Sites, in units of the cell vectors:
Au (0.500, 0.500, 0.500)
N (0.750, 0.750, 0.750)
Mo (0.000, 0.000, 0.000)
N (0.250, 0.250, 0.250)


(6)
Crystalline MoAuNO2 at its relaxed geometry, computed with PBEsol.

raw formation energy = -0.4026 eV per atom
total magnetization = 0.00 μB/atom
space-group type = No. 123
VASP energy = -0.540 Ry per atom
mass density = 9.5 g cm⁻³
crystal system = tetragonal

a = 3.790 Å, b = 3.790 Å, c = 4.114 Å
α = 90.00°, β = 90.00°, γ = 90.00°
Sites, in units of the cell vectors:
O (0.000, 0.500, 0.000)
N (0.000, 0.000, 0.500)
Au (0.500, 0.500, 0.500)
Mo (0.000, 0.000, 0.000)
O (0.500, 0.000, 0.000)


(7)
Crystalline Na2MoAu at its relaxed geometry, computed with PBEsol.

total magnetization = 1.03 μB/atom
DFT formation energy = 1.06 eV/atom
space-group type = No. 225
VASP energy = -0.262 Ry per atom
mass density = 7.0 g cm⁻³
crystal system = cubic

a = 4.855 Å, b = 4.855 Å, c = 4.855 Å
α = 60.00°, β = 60.00°, γ = 60.00°
Sites, in units of the cell vectors:
Au (0.500, 0.500, 0.500)
Mo (0.000, 0.000, 0.000)
Na (0.750, 0.750, 0.750)
Na (0.250, 0.250, 0.250)


(8)
Crystalline NiMoAu2 at its relaxed geometry, computed with PBEsol.

total magnetization = 0.00 μB/atom
energy above the most stable polymorph in this dataset = 19 meV/atom
DFT formation energy = 0.25 eV/atom
space-group type = No. 44
VASP energy = -0.455 Ry per atom
mass density = 15.1 g cm⁻³
crystal system = orthorhombic

a = 2.745 Å, b = 4.616 Å, c = 5.460 Å
α = 115.00°, β = 104.56°, γ = 90.00°
Sites, in units of the cell vectors:
Au (0.755, 0.255, 0.510)
Au (0.973, 0.973, 0.947)
Ni (0.241, 0.741, 0.482)
Mo (0.530, 0.530, 0.060)